--- i ---
This record from OQMD via LeMat-Bulk describes a geometry-optimized BeFeSnW structure. The functional is PBE-GGA.

Geometry as CIF:
```
data_BeFeSnW
_chemical_formula_sum 'Be4 Fe4 Sn4 W4'
_space_group_name_H-M_alt 'F -4 3 m'
_space_group_IT_number 216
_space_group_name_Hall 'F -4 2 3'
_cell_length_a 6.0569
_cell_length_b 6.0569
_cell_length_c 6.0569
_cell_angle_alpha 90.00
_cell_angle_beta 90.00
_cell_angle_gamma 90.00
loop_
_atom_site_label
_atom_site_fract_x
_atom_site_fract_y
_atom_site_fract_z
Be1 0.0000 0.0000 0.0000
Fe1 0.0000 0.0000 0.5000
Sn1 0.2500 0.2500 0.2500
W1 0.2500 0.2500 0.7500
```

Properties
Total magnetization   1.98 μB/f.u.
Crystal system   cubic

--- ii ---
This record from OQMD via LeMat-Bulk describes a geometry-optimized BeFeSnW structure. The functional is PBE-GGA.

Geometry as CIF:
```
data_BeFeSnW
_chemical_formula_sum 'Be4 Fe4 Sn4 W4'
_space_group_name_H-M_alt 'F -4 3 m'
_space_group_IT_number 216
_space_group_name_Hall 'F -4 2 3'
_cell_length_a 6.1460
_cell_length_b 6.1460
_cell_length_c 6.1460
_cell_angle_alpha 90.00
_cell_angle_beta 90.00
_cell_angle_gamma 90.00
loop_
_atom_site_label
_atom_site_fract_x
_atom_site_fract_y
_atom_site_fract_z
Be1 0.0000 0.0000 0.0000
Fe1 0.2500 0.2500 0.7500
Sn1 0.0000 0.0000 0.5000
W1 0.2500 0.2500 0.2500
```

Properties
Total magnetization   2.60 μB/f.u.
Crystal system   cubic

Computed relative energies in units of meV/atom: i 0; ii 187

--- i ---
This record from OQMD via LeMat-Bulk describes a geometry-optimized SrBeFeTe structure. The functional is PBE-GGA.

Geometry as CIF:
```
data_SrBeFeTe
_chemical_formula_sum 'Sr4 Be4 Fe4 Te4'
_space_group_name_H-M_alt 'F -4 3 m'
_space_group_IT_number 216
_space_group_name_Hall 'F -4 2 3'
_cell_length_a 7.0755
_cell_length_b 7.0755
_cell_length_c 7.0755
_cell_angle_alpha 90.00
_cell_angle_beta 90.00
_cell_angle_gamma 90.00
loop_
_atom_site_label
_atom_site_fract_x
_atom_site_fract_y
_atom_site_fract_z
Sr1 0.0000 0.0000 0.0000
Be1 0.2500 0.2500 0.2500
Fe1 0.0000 0.0000 0.5000
Te1 0.2500 0.2500 0.7500
```

Properties
Total magnetization   2.14 μB/f.u.
Crystal system   cubic

--- ii ---
This record from OQMD via LeMat-Bulk describes a geometry-optimized SrBeFeTe structure. The functional is PBE-GGA.

Geometry as CIF:
```
data_SrBeFeTe
_chemical_formula_sum 'Sr4 Be4 Fe4 Te4'
_space_group_name_H-M_alt 'F -4 3 m'
_space_group_IT_number 216
_space_group_name_Hall 'F -4 2 3'
_cell_length_a 7.1634
_cell_length_b 7.1634
_cell_length_c 7.1634
_cell_angle_alpha 90.00
_cell_angle_beta 90.00
_cell_angle_gamma 90.00
loop_
_atom_site_label
_atom_site_fract_x
_atom_site_fract_y
_atom_site_fract_z
Sr1 0.0000 0.0000 0.0000
Be1 0.0000 0.0000 0.5000
Fe1 0.2500 0.2500 0.2500
Te1 0.2500 0.2500 0.7500
```

Properties
Total magnetization   2.26 μB/f.u.
Crystal system   cubic

Computed relative energies in units of meV/atom: i 0; ii 143

--- i ---
This record from OQMD via LeMat-Bulk describes a geometry-optimized TaBeTlFe structure. The functional is PBE-GGA.

Geometry as CIF:
```
data_TaBeTlFe
_chemical_formula_sum 'Ta4 Be4 Tl4 Fe4'
_space_group_name_H-M_alt 'F -4 3 m'
_space_group_IT_number 216
_space_group_name_Hall 'F -4 2 3'
_cell_length_a 6.3138
_cell_length_b 6.3138
_cell_length_c 6.3138
_cell_angle_alpha 90.00
_cell_angle_beta 90.00
_cell_angle_gamma 90.00
loop_
_atom_site_label
_atom_site_fract_x
_atom_site_fract_y
_atom_site_fract_z
Ta1 0.0000 0.0000 0.0000
Be1 0.2500 0.2500 0.2500
Tl1 0.2500 0.2500 0.7500
Fe1 0.0000 0.0000 0.5000
```

Properties
Total magnetization   1.80 μB/f.u.
Crystal system   cubic

--- ii ---
This record from OQMD via LeMat-Bulk describes a geometry-optimized TaBeTlFe structure. The functional is PBE-GGA.

Geometry as CIF:
```
data_TaBeTlFe
_chemical_formula_sum 'Ta4 Be4 Tl4 Fe4'
_space_group_name_H-M_alt 'F -4 3 m'
_space_group_IT_number 216
_space_group_name_Hall 'F -4 2 3'
_cell_length_a 6.3020
_cell_length_b 6.3020
_cell_length_c 6.3020
_cell_angle_alpha 90.00
_cell_angle_beta 90.00
_cell_angle_gamma 90.00
loop_
_atom_site_label
_atom_site_fract_x
_atom_site_fract_y
_atom_site_fract_z
Ta1 0.0000 0.0000 0.0000
Be1 0.0000 0.0000 0.5000
Tl1 0.2500 0.2500 0.7500
Fe1 0.2500 0.2500 0.2500
```

Properties
Total magnetization   1.14 μB/f.u.
Crystal system   cubic

Computed relative energies in units of meV/atom: i 90; ii 0

--- i ---
This record from OQMD via LeMat-Bulk describes a geometry-optimized YTaBeFe structure. The functional is PBE-GGA.

Geometry as CIF:
```
data_YTaBeFe
_chemical_formula_sum 'Y4 Ta4 Be4 Fe4'
_space_group_name_H-M_alt 'F -4 3 m'
_space_group_IT_number 216
_space_group_name_Hall 'F -4 2 3'
_cell_length_a 6.3140
_cell_length_b 6.3140
_cell_length_c 6.3140
_cell_angle_alpha 90.00
_cell_angle_beta 90.00
_cell_angle_gamma 90.00
loop_
_atom_site_label
_atom_site_fract_x
_atom_site_fract_y
_atom_site_fract_z
Y1 0.0000 0.0000 0.0000
Ta1 0.2500 0.2500 0.7500
Be1 0.0000 0.0000 0.5000
Fe1 0.2500 0.2500 0.2500
```

Properties
Total magnetization   0.07 μB/f.u.
Crystal system   cubic

--- ii ---
This record from OQMD via LeMat-Bulk describes a geometry-optimized YTaBeFe structure. The functional is PBE-GGA.

Geometry as CIF:
```
data_YTaBeFe
_chemical_formula_sum 'Y4 Ta4 Be4 Fe4'
_space_group_name_H-M_alt 'F -4 3 m'
_space_group_IT_number 216
_space_group_name_Hall 'F -4 2 3'
_cell_length_a 6.2923
_cell_length_b 6.2923
_cell_length_c 6.2923
_cell_angle_alpha 90.00
_cell_angle_beta 90.00
_cell_angle_gamma 90.00
loop_
_atom_site_label
_atom_site_fract_x
_atom_site_fract_y
_atom_site_fract_z
Y1 0.0000 0.0000 0.0000
Ta1 0.2500 0.2500 0.7500
Be1 0.2500 0.2500 0.2500
Fe1 0.0000 0.0000 0.5000
```

Properties
Total magnetization   0.00 μB/f.u.
Crystal system   cubic

--- iii ---
This record from OQMD via LeMat-Bulk describes a geometry-optimized YTaBeFe structure. The functional is PBE-GGA.

Geometry as CIF:
```
data_YTaBeFe
_chemical_formula_sum 'Y4 Ta4 Be4 Fe4'
_space_group_name_H-M_alt 'F -4 3 m'
_space_group_IT_number 216
_space_group_name_Hall 'F -4 2 3'
_cell_length_a 6.4012
_cell_length_b 6.4012
_cell_length_c 6.4012
_cell_angle_alpha 90.00
_cell_angle_beta 90.00
_cell_angle_gamma 90.00
loop_
_atom_site_label
_atom_site_fract_x
_atom_site_fract_y
_atom_site_fract_z
Y1 0.0000 0.0000 0.0000
Ta1 0.0000 0.0000 0.5000
Be1 0.2500 0.2500 0.2500
Fe1 0.2500 0.2500 0.7500
```

Properties
Total magnetization   0.18 μB/f.u.
Crystal system   cubic

Computed relative energies in units of meV/atom: i 487; ii 190; iii 0